# 1
This record from the Alexandria database describes a geometry-optimized Sr2TlTePt structure. The functional is GGA-PBE.

## Properties
DOS(E_F) = 0.667 states/eV per atom
Symmetry = No. 123
Offset from the most stable computed form = 250 meV per atom
Raw formation energy = -0.54 eV/atom

a = 5.8045 Å, b = 5.4001 Å, c = 5.8045 Å
α = 90.00°, β = 90.00°, γ = 90.00°
Fractional coordinates of all 5 atoms:
Sr 0.0000 0.0000 0.5000
Sr 0.5000 0.0000 0.0000
Tl 0.5000 0.5000 0.5000
Te 0.0000 0.5000 0.0000
Pt 0.0000 0.0000 0.0000

=====

# 2
This record from the Alexandria database describes a geometry-optimized Sr2TlTePt structure. The functional is GGA-PBE.

## Properties
DOS(E_F) = 0.519 states/eV per atom
Symmetry = No. 123
Offset from the most stable computed form = 0 meV per atom
Raw formation energy = -0.79 eV/atom

a = 5.8589 Å, b = 5.8589 Å, c = 5.1842 Å
α = 90.00°, β = 90.00°, γ = 90.00°
Fractional coordinates of all 5 atoms:
Sr 0.0000 0.5000 0.0000
Sr 0.5000 0.0000 0.0000
Tl 0.0000 0.0000 0.5000
Te 0.5000 0.5000 0.5000
Pt 0.0000 0.0000 0.0000

=====

# 3
This record from the Alexandria database describes a geometry-optimized SrTePtW2 structure. The functional is GGA-PBE.

## Properties
DOS(E_F) = 0.980 states/eV per atom
Symmetry = No. 123
Raw formation energy = 1.22 eV/atom

a = 4.9100 Å, b = 5.7596 Å, c = 4.9100 Å
α = 90.00°, β = 90.00°, γ = 90.00°
Fractional coordinates of all 5 atoms:
Sr 0.5000 0.5000 0.5000
Te 0.0000 0.5000 0.0000
W 0.0000 0.0000 0.5000
W 0.5000 0.0000 0.0000
Pt 0.0000 0.0000 0.0000

=====

# 4
This record from the Alexandria database describes a geometry-optimized SrZnTe2Pt structure. The functional is GGA-PBE.

## Properties
DOS(E_F) = 1.551 states/eV per atom
Symmetry = No. 123
Raw formation energy = 0.78 eV/atom

a = 6.2514 Å, b = 5.5245 Å, c = 6.2514 Å
α = 90.00°, β = 90.00°, γ = 90.00°
Fractional coordinates of all 5 atoms:
Sr 0.0000 0.0000 0.0000
Zn 0.5000 0.5000 0.5000
Te 0.0000 0.0000 0.5000
Te 0.5000 0.0000 0.0000
Pt 0.0000 0.5000 0.0000

=====

# 5
This record from the Alexandria database describes a geometry-optimized Sr2ZnTePt structure. The functional is GGA-PBE.

## Properties
DOS(E_F) = 0.331 states/eV per atom
Symmetry = No. 123
Raw formation energy = -0.86 eV/atom

a = 5.8073 Å, b = 5.8073 Å, c = 4.8395 Å
α = 90.00°, β = 90.00°, γ = 90.00°
Fractional coordinates of all 5 atoms:
Sr 0.0000 0.5000 0.0000
Sr 0.5000 0.0000 0.0000
Zn 0.0000 0.0000 0.5000
Te 0.5000 0.5000 0.5000
Pt 0.0000 0.0000 0.0000

=====

# 6
This record from the Alexandria database describes a geometry-optimized SrThPt2 structure. The functional is GGA-PBE.

## Properties
Calculated formation energy = -1.005 eV/atom
DOS(E_F) = 0.371 states/eV per atom
Symmetry = No. 160
Offset from the most stable computed form = 38 meV per atom

a = 4.1285 Å, b = 4.1285 Å, c = 7.9159 Å
α = 74.88°, β = 74.88°, γ = 60.00°
Fractional coordinates of all 4 atoms:
Sr 0.4970 0.4970 0.5091
Th 0.6684 0.6684 0.9948
Pt 0.0741 0.0741 0.7776
Pt 0.2605 0.2605 0.2185

=====

# 7
This record from the Alexandria database describes a geometry-optimized SrThPt2 structure. The functional is GGA-PBE.

## Properties
Calculated formation energy = -0.889 eV/atom
DOS(E_F) = 0.894 states/eV per atom
Symmetry = No. 225
Offset from the most stable computed form = 155 meV per atom

a = 5.1442 Å, b = 5.1442 Å, c = 5.1442 Å
α = 60.00°, β = 60.00°, γ = 60.00°
Fractional coordinates of all 4 atoms:
Sr 0.5000 0.5000 0.5000
Pt 0.2500 0.2500 0.2500
Pt 0.7500 0.7500 0.7500
Th 0.0000 0.0000 0.0000

=====

# 8
This record from the Alexandria database describes a geometry-optimized SrThPt structure. The functional is GGA-PBE.

## Properties
Calculated formation energy = -0.589 eV/atom
DOS(E_F) = 1.419 states/eV per atom
Symmetry = No. 107

a = 3.7501 Å, b = 3.7501 Å, c = 7.3806 Å
α = 104.72°, β = 104.72°, γ = 90.00°
Fractional coordinates of all 3 atoms:
Sr 0.0236 0.0236 0.0471
Pt 0.6931 0.6931 0.3862
Th 0.2833 0.2833 0.5667

=====

# 9
This record from the Alexandria database describes a geometry-optimized SrThPt2 structure. The functional is GGA-PBE.

## Properties
Calculated formation energy = -1.029 eV/atom
DOS(E_F) = 0.504 states/eV per atom
Symmetry = No. 123
Offset from the most stable computed form = 15 meV per atom

a = 3.6879 Å, b = 3.6879 Å, c = 7.4802 Å
α = 90.00°, β = 90.00°, γ = 90.00°
Fractional coordinates of all 4 atoms:
Sr 0.5000 0.5000 0.5000
Pt 0.0000 0.0000 0.7959
Pt 0.0000 0.0000 0.2041
Th 0.5000 0.5000 0.0000

=====

# 10
This record from the Alexandria database describes a geometry-optimized SrThPt2 structure. The functional is GGA-PBE.

## Properties
Calculated formation energy = -1.043 eV/atom
DOS(E_F) = 0.464 states/eV per atom
Symmetry = No. 166
Offset from the most stable computed form = 0 meV per atom

a = 4.1894 Å, b = 4.1894 Å, c = 7.6762 Å
α = 74.16°, β = 74.16°, γ = 60.00°
Fractional coordinates of all 4 atoms:
Sr 0.5000 0.5000 0.5000
Pt 0.2597 0.2597 0.2209
Pt 0.7403 0.7403 0.7791
Th 0.0000 0.0000 0.0000

=====

# 11
This record from the Alexandria database describes a geometry-optimized SrTi2Pt structure. The functional is GGA-PBE.

## Properties
Calculated formation energy = 0.150 eV/atom
DOS(E_F) = 1.644 states/eV per atom
Symmetry = No. 225
Offset from the most stable computed form = 0 meV per atom

a = 4.7445 Å, b = 4.7445 Å, c = 4.7445 Å
α = 60.00°, β = 60.00°, γ = 60.00°
Fractional coordinates of all 4 atoms:
Sr 0.0000 0.0000 0.0000
Pt 0.5000 0.5000 0.5000
Ti 0.2500 0.2500 0.2500
Ti 0.7500 0.7500 0.7500

=====

# 12
This record from the Alexandria database describes a geometry-optimized Sr2TiPt structure. The functional is GGA-PBE.

## Properties
Calculated formation energy = 0.358 eV/atom
DOS(E_F) = 2.651 states/eV per atom
Symmetry = No. 225
Offset from the most stable computed form = 382 meV per atom

a = 5.3484 Å, b = 5.3484 Å, c = 5.3484 Å
α = 60.00°, β = 60.00°, γ = 60.00°
Fractional coordinates of all 4 atoms:
Sr 0.2500 0.2500 0.2500
Sr 0.7500 0.7500 0.7500
Pt 0.5000 0.5000 0.5000
Ti 0.0000 0.0000 0.0000